[1]
LiPrTl2 | Alexandria | PBE-GGA | relaxed; calculated volume = 102 Å³/f.u.; SG = No. 123; calculated total energy = -3.171 eV per atom; ΔE_f = -314.6 meV/atom; D(E_F) = 0.729 states/eV per atom
1.0
3.661 0.000 0.000
0.000 3.661 0.000
0.000 0.000 7.621
Li Pr Tl
1 1 2
Direct
0.000 0.000 0.000
0.000 0.000 0.500
0.500 0.500 0.209
0.500 0.500 0.791

---

[2]
YVCl | Alexandria | PBE-GGA | relaxed; calculated volume = 63 Å³/f.u.; energy relative to the elements, uncorrected = -0.68 eV/atom; SG = No. 63; calculated total energy = -6.491 eV per atom; D(E_F) = 0.443 states/eV per atom
1.0
3.503 0.000 0.000
0.000 17.369 0.000
0.000 0.000 4.113
Y V Cl
4 4 4
Direct
0.000 0.117 0.250
0.000 0.883 0.750
0.500 0.383 0.750
0.500 0.617 0.250
0.000 0.476 0.250
0.000 0.524 0.750
0.500 0.024 0.750
0.500 0.976 0.250
0.000 0.315 0.250
0.000 0.685 0.750
0.500 0.185 0.750
0.500 0.815 0.250

---

[3]
TlRe2Sb | Alexandria | PBE-GGA | relaxed; calculated volume = 94 Å³/f.u.; energy relative to the elements, uncorrected = 0.66 eV/atom; SG = No. 25; calculated total energy = -7.187 eV per atom; D(E_F) = 0.667 states/eV per atom
1.0
3.190 0.000 0.000
0.000 4.064 0.000
0.000 0.000 7.289
Tl Re Sb
1 2 1
Direct
0.000 0.000 0.000
0.000 0.500 0.670
0.500 0.000 0.639
0.500 0.500 0.360

---

[4]
Er2CoSi5 | Alexandria | PBE-GGA | relaxed; calculated volume = 140 Å³/f.u.; energy relative to the elements, uncorrected = -0.44 eV/atom; SG = No. 107; calculated total energy = -5.858 eV per atom; D(E_F) = 0.464 states/eV per atom
1.0
5.673 0.000 0.000
0.000 5.673 0.000
0.000 0.000 8.712
Er Co Si
4 2 10
Direct
0.000 0.500 0.000
0.000 0.500 0.500
0.500 0.000 0.000
0.500 0.000 0.500
0.000 0.000 0.197
0.500 0.500 0.697
0.000 0.000 0.943
0.218 0.218 0.740
0.218 0.782 0.740
0.282 0.282 0.240
0.282 0.718 0.240
0.500 0.500 0.443
0.718 0.282 0.240
0.718 0.718 0.240
0.782 0.218 0.740
0.782 0.782 0.740

---

[5]
Al2In | Alexandria | PBE-GGA | relaxed; calculated volume = 62 Å³/f.u.; SG = No. 63; calculated total energy = -3.260 eV per atom; ΔE_f = 148.1 meV/atom; D(E_F) = 0.370 states/eV per atom
1.0
4.000 0.000 0.000
0.000 14.407 0.000
0.000 0.000 4.320
Al In
8 4
Direct
0.000 0.120 0.250
0.000 0.246 0.750
0.000 0.754 0.250
0.000 0.880 0.750
0.500 0.254 0.250
0.500 0.380 0.750
0.500 0.620 0.250
0.500 0.746 0.750
0.000 0.422 0.250
0.000 0.578 0.750
0.500 0.078 0.750
0.500 0.922 0.250

---

[6]
RhAu3I | Alexandria | PBE-GGA | relaxed; calculated volume = 144 Å³/f.u.; energy relative to the elements, uncorrected = 1.46 eV/atom; SG = No. 221; calculated total energy = -2.282 eV per atom; D(E_F) = 0.645 states/eV per atom
1.0
5.238 0.000 0.000
0.000 5.238 0.000
0.000 0.000 5.238
Rh Au I
1 3 1
Direct
0.000 0.000 0.000
0.000 0.500 0.500
0.500 0.000 0.500
0.500 0.500 0.000
0.500 0.500 0.500

---

[7]
Nd7Er2Mg2 | Alexandria | PBE-GGA | relaxed; calculated volume = 371 Å³/f.u.; SG = No. 71; calculated total energy = -4.076 eV per atom; ΔE_f = 77.8 meV/atom; D(E_F) = 1.105 states/eV per atom
1.0
-1.899 5.694 8.581
1.899 -5.694 8.581
1.899 5.694 -8.581
Nd Er Mg
7 2 2
Direct
0.000 0.000 0.000
0.070 0.837 0.232
0.322 0.322 0.000
0.395 0.163 0.232
0.605 0.837 0.768
0.678 0.678 0.000
0.930 0.163 0.768
0.300 0.500 0.800
0.700 0.500 0.200
0.162 0.662 0.500
0.838 0.338 0.500

---

[8]
Ho8CuRu5 | Alexandria | PBE-GGA | relaxed; calculated volume = 309 Å³/f.u.; SG = No. 82; calculated total energy = -6.461 eV per atom; ΔE_f = -239.8 meV/atom; D(E_F) = 0.496 states/eV per atom
1.0
-4.272 4.272 4.240
4.272 -4.272 4.240
4.272 4.272 -4.240
Ho Cu Ru
8 1 5
Direct
0.011 0.898 0.258
0.102 0.360 0.113
0.126 0.384 0.617
0.247 0.989 0.887
0.491 0.874 0.258
0.616 0.233 0.742
0.640 0.753 0.742
0.767 0.509 0.383
0.500 0.500 0.000
0.005 0.611 0.895
0.250 0.750 0.500
0.389 0.284 0.394
0.716 0.110 0.105
0.890 0.995 0.606

---

[9]
BaSrW2 | Alexandria | PBE-GGA | relaxed; calculated volume = 115 Å³/f.u.; SG = No. 10; calculated total energy = -6.033 eV per atom; ΔE_f = 1344.7 meV/atom; D(E_F) = 1.342 states/eV per atom
1.0
3.020 0.000 0.000
0.000 5.494 0.000
-0.325 0.000 6.950
Ba Sr W
1 1 2
Direct
0.000 0.000 0.000
0.000 0.000 0.500
0.364 0.500 0.338
0.636 0.500 0.662

---

[10]
TbY2Cu | Alexandria | PBE-GGA | relaxed; calculated volume = 109 Å³/f.u.; SG = No. 11; calculated total energy = -5.476 eV per atom; ΔE_f = -62.4 meV/atom; D(E_F) = 1.362 states/eV per atom
1.0
4.985 0.000 0.000
0.000 7.459 0.000
-2.487 0.000 5.858
Tb Y Cu
2 4 2
Direct
0.043 0.250 0.087
0.957 0.750 0.913
0.352 0.029 0.703
0.352 0.471 0.703
0.648 0.529 0.297
0.648 0.971 0.297
0.195 0.750 0.393
0.805 0.250 0.607

---

[11]
SrB12O7 | Alexandria | PBE-GGA | relaxed; calculated volume = 275 Å³/f.u.; energy relative to the elements, uncorrected = -0.96 eV/atom; SG = No. 146; calculated total energy = -6.789 eV per atom
1.0
3.968 2.291 5.041
-3.968 2.291 5.041
0.000 -4.582 5.041
Sr B O
1 12 7
Direct
0.000 0.000 0.000
0.192 0.449 0.357
0.201 0.416 0.654
0.357 0.192 0.449
0.384 0.544 0.637
0.416 0.654 0.201
0.417 0.791 0.564
0.449 0.357 0.192
0.544 0.637 0.384
0.564 0.417 0.791
0.637 0.384 0.544
0.654 0.201 0.416
0.791 0.564 0.417
0.053 0.341 0.806
0.259 0.259 0.259
0.338 0.990 0.590
0.341 0.806 0.053
0.590 0.338 0.990
0.806 0.053 0.341
0.990 0.590 0.338

---

[12]
NiSb2Br8 | Alexandria | PBE-GGA | relaxed; calculated volume = 425 Å³/f.u.; energy relative to the elements, uncorrected = -0.43 eV/atom; SG = No. 12; calculated total energy = -2.918 eV per atom; D(E_F) = 0.138 states/eV per atom
1.0
6.765 -3.315 0.000
6.765 3.315 0.000
-5.714 0.000 9.484
Ni Sb Br
1 2 8
Direct
0.000 0.000 0.000
0.102 0.102 0.397
0.898 0.898 0.603
0.126 0.126 0.693
0.184 0.697 0.827
0.303 0.816 0.173
0.348 0.348 0.501
0.652 0.652 0.499
0.697 0.184 0.827
0.816 0.303 0.173
0.874 0.874 0.307

---

[13]
Cs2KTlCu | Alexandria | PBE-GGA | relaxed; calculated volume = 280 Å³/f.u.; SG = No. 123; calculated total energy = -1.683 eV per atom; ΔE_f = 170.0 meV/atom; D(E_F) = 0.962 states/eV per atom
1.0
7.334 0.000 0.000
0.000 7.334 0.000
0.000 0.000 5.211
Cs K Tl Cu
2 1 1 1
Direct
0.000 0.500 0.000
0.500 0.000 0.000
0.000 0.000 0.500
0.500 0.500 0.500
0.500 0.500 0.000

---

[14]
DyHo12Sc3 | Alexandria | PBE-GGA | relaxed; calculated volume = 475 Å³/f.u.; SG = No. 123; calculated total energy = -4.872 eV per atom; ΔE_f = 36.6 meV/atom; D(E_F) = 1.463 states/eV per atom
1.0
4.921 0.000 0.000
0.000 4.921 0.000
0.000 0.000 19.631
Dy Ho Sc
1 12 3
Direct
0.000 0.000 0.000
0.000 0.500 0.129
0.000 0.500 0.376
0.000 0.500 0.624
0.000 0.500 0.871
0.500 0.000 0.129
0.500 0.000 0.376
0.500 0.000 0.624
0.500 0.000 0.871
0.500 0.500 0.000
0.500 0.500 0.253
0.500 0.500 0.500
0.500 0.500 0.747
0.000 0.000 0.252
0.000 0.000 0.500
0.000 0.000 0.748

---

[15]
Tb4Al3Zn | Alexandria | PBE-GGA | relaxed; calculated volume = 195 Å³/f.u.; SG = No. 25; calculated total energy = -4.236 eV per atom; ΔE_f = -357.8 meV/atom; D(E_F) = 0.888 states/eV per atom
1.0
3.700 0.000 0.000
0.000 4.489 0.000
0.000 0.000 11.745
Tb Al Zn
4 3 1
Direct
0.000 0.000 0.000
0.000 0.500 0.306
0.500 0.000 0.495
0.500 0.500 0.809
0.000 0.000 0.719
0.000 0.500 0.586
0.500 0.500 0.088
0.500 0.000 0.220

---

[16]
Tc2NiAg | Alexandria | PBE-GGA | relaxed; calculated volume = 59 Å³/f.u.; SG = No. 35; calculated total energy = -7.022 eV per atom; ΔE_f = 318.8 meV/atom; D(E_F) = 1.046 states/eV per atom
1.0
2.908 0.000 0.000
0.000 4.478 0.000
0.000 0.000 9.046
Tc Ni Ag
4 2 2
Direct
0.000 0.000 0.000
0.000 0.500 0.241
0.500 0.000 0.241
0.500 0.500 0.000
0.000 0.500 0.772
0.500 0.000 0.772
0.000 0.000 0.521
0.500 0.500 0.521

---

[17]
CsTlTe2 | Alexandria | PBE-GGA | relaxed; calculated volume = 189 Å³/f.u.; energy relative to the elements, uncorrected = -0.14 eV/atom; SG = No. 166; calculated total energy = -2.519 eV per atom; D(E_F) = 0.805 states/eV per atom
1.0
4.547 0.000 0.000
-2.273 3.937 0.000
0.000 0.000 31.701
Cs Tl Te
3 3 6
Direct
0.000 0.000 0.000
0.333 0.667 0.667
0.667 0.333 0.333
0.000 0.000 0.500
0.333 0.667 0.167
0.667 0.333 0.833
0.000 0.000 0.112
0.000 0.000 0.888
0.333 0.667 0.554
0.333 0.667 0.779
0.667 0.333 0.221
0.667 0.333 0.446

---

[18]
LiInBi2Mo | Alexandria | PBE-GGA | relaxed; calculated volume = 126 Å³/f.u.; SG = No. 123; calculated total energy = -3.877 eV per atom; ΔE_f = 771.7 meV/atom; D(E_F) = 0.750 states/eV per atom
1.0
5.070 0.000 0.000
0.000 5.070 0.000
0.000 0.000 4.914
Li In Bi Mo
1 1 2 1
Direct
0.000 0.000 0.000
0.500 0.500 0.500
0.000 0.500 0.000
0.500 0.000 0.000
0.000 0.000 0.500

---

[19]
GeAsI2N | Alexandria | PBE-GGA | relaxed; calculated volume = 122 Å³/f.u.; energy relative to the elements, uncorrected = 0.83 eV/atom; SG = No. 123; calculated total energy = -3.306 eV per atom; D(E_F) = 1.021 states/eV per atom
1.0
5.844 0.000 0.000
0.000 5.844 0.000
0.000 0.000 3.563
Ge As I N
1 1 2 1
Direct
0.000 0.000 0.000
0.500 0.500 0.500
0.000 0.500 0.000
0.500 0.000 0.000
0.000 0.000 0.500

---

[20]
Li3Pt | Alexandria | PBE-GGA | relaxed; calculated volume = 115 Å³/f.u.; SG = No. 221; calculated total energy = -2.962 eV per atom; ΔE_f = -16.6 meV/atom; D(E_F) = 0.475 states/eV per atom
1.0
4.867 0.000 0.000
0.000 4.867 0.000
0.000 0.000 4.867
Li Pt
3 1
Direct
0.000 0.000 0.500
0.000 0.500 0.000
0.500 0.000 0.000
0.000 0.000 0.000

---

[21]
MnTl2Mo | Alexandria | PBE-GGA | relaxed; calculated volume = 82 Å³/f.u.; SG = No. 44; calculated total energy = -5.555 eV per atom; ΔE_f = 627.9 meV/atom; D(E_F) = 0.550 states/eV per atom
1.0
3.087 0.000 0.000
0.000 4.879 0.000
0.000 0.000 10.953
Mn Tl Mo
2 4 2
Direct
0.000 0.000 0.000
0.500 0.500 0.500
0.000 0.000 0.433
0.000 0.500 0.216
0.500 0.000 0.716
0.500 0.500 0.933
0.000 0.500 0.678
0.500 0.000 0.178

---

[22]
K3Rb4Tl | Alexandria | PBE-GGA | relaxed; calculated volume = 572 Å³/f.u.; SG = No. 140; calculated total energy = -1.140 eV per atom; ΔE_f = 50.8 meV/atom; D(E_F) = 0.835 states/eV per atom
1.0
-8.435 8.435 4.017
8.435 -8.435 4.017
8.435 8.435 -4.017
K Rb Tl
6 8 2
Direct
0.131 0.631 0.762
0.250 0.250 0.000
0.369 0.131 0.500
0.631 0.869 0.500
0.750 0.750 0.000
0.869 0.369 0.238
0.088 0.229 0.318
0.229 0.912 0.141
0.271 0.412 0.682
0.412 0.729 0.141
0.588 0.271 0.859
0.729 0.588 0.318
0.771 0.088 0.859
0.912 0.771 0.682
0.250 0.750 0.500
0.750 0.250 0.500

---

[23]
Zr4BeAl | Alexandria | PBE-GGA | relaxed; calculated volume = 117 Å³/f.u.; SG = No. 97; calculated total energy = -7.137 eV per atom; ΔE_f = -193.7 meV/atom; D(E_F) = 0.660 states/eV per atom
1.0
6.981 0.000 0.000
0.000 6.981 0.000
0.000 0.000 4.821
Zr Be Al
8 2 2
Direct
0.155 0.345 0.250
0.155 0.655 0.750
0.345 0.155 0.750
0.345 0.845 0.250
0.655 0.155 0.250
0.655 0.845 0.750
0.845 0.345 0.750
0.845 0.655 0.250
0.000 0.000 0.500
0.500 0.500 0.000
0.000 0.000 0.000
0.500 0.500 0.500

---

[24]
AcLa2Nd2 | Alexandria | PBE-GGA | relaxed; calculated volume = 190 Å³/f.u.; SG = No. 15; calculated total energy = -4.591 eV per atom; ΔE_f = 108.4 meV/atom; D(E_F) = 1.430 states/eV per atom
1.0
4.965 -4.215 0.000
4.965 4.215 0.000
-3.490 0.000 9.083
Ac La Nd
2 4 4
Direct
0.221 0.779 0.750
0.779 0.221 0.250
0.069 0.712 0.351
0.288 0.931 0.149
0.712 0.069 0.851
0.931 0.288 0.649
0.264 0.388 0.020
0.388 0.264 0.520
0.612 0.736 0.480
0.736 0.612 0.980

---

[25]
TlPtBr2 | Alexandria | PBE-GGA | relaxed; calculated volume = 126 Å³/f.u.; energy relative to the elements, uncorrected = 0.06 eV/atom; SG = No. 25; calculated total energy = -2.880 eV per atom; D(E_F) = 0.421 states/eV per atom
1.0
3.973 0.000 0.000
0.000 3.983 0.000
0.000 0.000 7.940
Tl Pt Br
1 1 2
Direct
0.000 0.000 0.000
0.500 0.500 0.977
0.000 0.000 0.338
0.500 0.500 0.679